An optimized crystal structure of Pr3Al9Pt2. Source: Alexandria via LeMat-Bulk, functional GGA-PBE.

a b c (Å): 8.410 8.410 8.410
angles (deg): 150.00 104.96 82.87
Sites, in units of the cell vectors:
1 Pr 0.000 0.000 0.000
2 Pr 0.315 0.315 0.000
3 Pr 0.685 0.685 0.000
4 Al 0.031 0.664 0.367
5 Al 0.158 0.878 0.280
6 Al 0.297 0.664 0.633
7 Al 0.402 0.122 0.280
8 Al 0.500 0.000 0.500
9 Al 0.598 0.878 0.720
10 Al 0.703 0.336 0.367
11 Al 0.842 0.122 0.720
12 Al 0.969 0.336 0.633
13 Pt 0.278 0.500 0.778
14 Pt 0.722 0.500 0.222

total magnetization	0.0	μB/f.u.
ΔE_f	-0.693	eV per atom
raw total energy	-69.8	eV/f.u.



An optimized crystal structure of DyLuOs4. Source: Alexandria via LeMat-Bulk, functional GGA-PBE.

a b c (Å): 5.332 5.332 5.332
angles (deg): 60.00 60.00 60.00
Sites, in units of the cell vectors:
1 Dy 0.000 0.000 0.000
2 Lu 0.750 0.750 0.750
3 Os 0.375 0.375 0.375
4 Os 0.375 0.375 0.875
5 Os 0.375 0.875 0.375
6 Os 0.875 0.375 0.375

total magnetization	0.0	μB/f.u.
ΔE_f	-0.304	eV per atom
raw total energy	-55.9	eV/f.u.



An optimized crystal structure of LiPtS4. Source: Alexandria via LeMat-Bulk, functional GGA-PBE.

a b c (Å): 5.753 6.991 7.278
angles (deg): 108.21 91.30 110.69
Sites, in units of the cell vectors:
1 Li 0.245 0.492 0.256
2 Li 0.755 0.508 0.744
3 Pt 0.254 0.504 0.751
4 Pt 0.746 0.496 0.249
5 S 0.058 0.245 0.901
6 S 0.208 0.235 0.443
7 S 0.292 0.753 0.066
8 S 0.443 0.761 0.605
9 S 0.557 0.239 0.395
10 S 0.708 0.247 0.934
11 S 0.792 0.765 0.557
12 S 0.942 0.755 0.099

total magnetization	0.0	μB/f.u.
raw total energy	-26.7	eV/f.u.
formation energy from raw total energies	-0.37	eV per atom



An optimized crystal structure of TiMn3Br. Source: Alexandria via LeMat-Bulk, functional GGA-PBE.

a b c (Å): 4.746 4.746 4.746
angles (deg): 90.00 90.00 90.00
Sites, in units of the cell vectors:
1 Ti 0.000 0.000 0.000
2 Mn 0.000 0.000 0.500
3 Mn 0.000 0.500 0.000
4 Mn 0.500 0.000 0.000
5 Br 0.500 0.500 0.500

total magnetization	9.3	μB/f.u.
E above lowest polymorph	0.0	meV per atom
raw total energy	-31.5	eV/f.u.
formation energy from raw total energies	1.12	eV per atom



An optimized crystal structure of PbW3. Source: Alexandria via LeMat-Bulk, functional GGA-PBE.

a b c (Å): 3.129 3.129 7.736
angles (deg): 90.00 90.00 90.00
Sites, in units of the cell vectors:
1 Pb 0.000 0.000 0.000
2 W 0.000 0.000 0.500
3 W 0.500 0.500 0.297
4 W 0.500 0.500 0.703

total magnetization	0.0	μB/f.u.
E above lowest polymorph	46.8	meV per atom
ΔE_f	0.735	eV per atom
raw total energy	-39.6	eV/f.u.



An optimized crystal structure of Li6Hg6Bi. Source: Alexandria via LeMat-Bulk, functional GGA-PBE.

a b c (Å): 6.067 6.067 9.236
angles (deg): 90.00 90.00 120.00
Sites, in units of the cell vectors:
1 Li 0.000 0.000 0.181
2 Li 0.000 0.000 0.819
3 Li 0.333 0.667 0.000
4 Li 0.333 0.667 0.500
5 Li 0.667 0.333 0.000
6 Li 0.667 0.333 0.500
7 Hg 0.000 0.500 0.242
8 Hg 0.000 0.500 0.758
9 Hg 0.500 0.000 0.242
10 Hg 0.500 0.000 0.758
11 Hg 0.500 0.500 0.242
12 Hg 0.500 0.500 0.758
13 Bi 0.000 0.000 0.500

total magnetization	0.0	μB/f.u.
ΔE_f	-0.220	eV per atom
raw total energy	-20.0	eV/f.u.



An optimized crystal structure of MnFeC2. Source: Alexandria via LeMat-Bulk, functional GGA-PBE.

a b c (Å): 5.268 5.268 5.268
angles (deg): 131.94 131.94 70.32
Sites, in units of the cell vectors:
1 Mn 0.000 0.000 0.000
2 Mn 0.750 0.250 0.500
3 Fe 0.250 0.750 0.500
4 Fe 0.500 0.500 0.000
5 C 0.132 0.625 0.007
6 C 0.375 0.382 0.507
7 C 0.618 0.125 0.993
8 C 0.875 0.868 0.493

total magnetization	1.0	μB/f.u.
ΔE_f	0.486	eV per atom
raw total energy	-34.1	eV/f.u.



An optimized crystal structure of Zr3B3Sb. Source: Alexandria via LeMat-Bulk, functional GGA-PBE.

a b c (Å): 8.227 8.227 3.618
angles (deg): 90.00 90.00 120.00
Sites, in units of the cell vectors:
1 Zr 0.067 0.699 0.250
2 Zr 0.301 0.368 0.250
3 Zr 0.368 0.067 0.750
4 Zr 0.632 0.933 0.250
5 Zr 0.699 0.632 0.750
6 Zr 0.933 0.301 0.750
7 B 0.024 0.887 0.750
8 B 0.113 0.138 0.750
9 B 0.138 0.024 0.250
10 B 0.862 0.976 0.750
11 B 0.887 0.862 0.250
12 B 0.976 0.113 0.250
13 Sb 0.333 0.667 0.750
14 Sb 0.667 0.333 0.250

total magnetization	0.0	μB/f.u.
raw total energy	-53.9	eV/f.u.
formation energy from raw total energies	-0.59	eV per atom



An optimized crystal structure of La2Zn3Ge6. Source: Alexandria via LeMat-Bulk, functional GGA-PBE.

a b c (Å): 12.868 12.868 6.024
angles (deg): 90.00 90.00 152.87
Sites, in units of the cell vectors:
1 La 0.106 0.894 0.750
2 La 0.394 0.606 0.750
3 La 0.606 0.394 0.250
4 La 0.894 0.106 0.250
5 Zn 0.161 0.839 0.250
6 Zn 0.262 0.262 0.000
7 Zn 0.262 0.262 0.500
8 Zn 0.738 0.738 0.000
9 Zn 0.738 0.738 0.500
10 Zn 0.839 0.161 0.750
11 Ge 0.058 0.942 0.250
12 Ge 0.084 0.487 0.036
13 Ge 0.084 0.487 0.464
14 Ge 0.433 0.567 0.250
15 Ge 0.487 0.084 0.536
16 Ge 0.487 0.084 0.964
17 Ge 0.513 0.916 0.036
18 Ge 0.513 0.916 0.464
19 Ge 0.567 0.433 0.750
20 Ge 0.916 0.513 0.536
21 Ge 0.916 0.513 0.964
22 Ge 0.942 0.058 0.750

total magnetization	0.0	μB/f.u.
ΔE_f	-0.447	eV per atom
raw total energy	-46.3	eV/f.u.



An optimized crystal structure of Li2ZnRu. Source: Alexandria via LeMat-Bulk, functional GGA-PBE.

a b c (Å): 5.210 5.210 2.600
angles (deg): 102.45 102.45 119.99
Sites, in units of the cell vectors:
1 Li 0.000 0.500 0.000
2 Li 0.500 0.000 0.000
3 Zn 0.000 0.000 0.500
4 Ru 0.500 0.500 0.500

total magnetization	0.0	μB/f.u.
ΔE_f	-0.017	eV per atom
raw total energy	-14.4	eV/f.u.



An optimized crystal structure of Fe2HgCl. Source: Alexandria via LeMat-Bulk, functional GGA-PBE.

a b c (Å): 3.115 3.115 7.682
angles (deg): 90.00 90.00 90.00
Sites, in units of the cell vectors:
1 Fe 0.000 0.000 0.000
2 Fe 0.500 0.500 0.153
3 Hg 0.000 0.000 0.385
4 Cl 0.500 0.500 0.819

total magnetization	5.6	μB/f.u.
E above lowest polymorph	25.0	meV per atom
raw total energy	-18.4	eV/f.u.
formation energy from raw total energies	0.16	eV per atom



An optimized crystal structure of Ag3Pt5. Source: Alexandria via LeMat-Bulk, functional GGA-PBE.

a b c (Å): 7.944 7.944 5.058
angles (deg): 90.00 90.00 120.00
Sites, in units of the cell vectors:
1 Ag 0.000 0.407 0.250
2 Ag 0.000 0.593 0.750
3 Ag 0.407 0.000 0.250
4 Ag 0.407 0.407 0.750
5 Ag 0.593 0.000 0.750
6 Ag 0.593 0.593 0.250
7 Pt 0.000 0.202 0.750
8 Pt 0.000 0.798 0.250
9 Pt 0.202 0.000 0.750
10 Pt 0.202 0.202 0.250
11 Pt 0.333 0.667 0.000
12 Pt 0.333 0.667 0.500
13 Pt 0.667 0.333 0.000
14 Pt 0.667 0.333 0.500
15 Pt 0.798 0.000 0.250
16 Pt 0.798 0.798 0.750

total magnetization	0.0	μB/f.u.
E above lowest polymorph	354.0	meV per atom
ΔE_f	0.349	eV per atom
raw total energy	-36.0	eV/f.u.